# La3Tb2Nd

A relaxed structure of La3Tb2Nd (PBE-GGA, Alexandria via LeMat-Bulk).

The structure belongs to space group C2/c (No. 15); the cell edges are 10.3878, 7.2997 and 12.2128 Å and the angles 90.00°, 115.14° and 90.00°. The distinct sites, in fractional coordinates, are La at (0.0000, 0.1255, 0.2500), La at (0.1667, 0.1249, 0.5830), Tb at (0.1657, 0.3753, 0.0818) and Nd at (0.0000, 0.3746, 0.7500).

As for the volume: 209.6 Å³/f.u. For the density of states at the Fermi level, the calculation gives 9.891 states/eV/f.u. The value obtained for the formation energy from the elements is 0.019 eV/atom. The polymorph energy (0 for the lowest one) comes out at 0 meV/atom.